Record 1
Entry from the Alexandria database: a relaxed Mn2HgPt crystal (PBEsol).

abc: 4.4571 4.4571 4.4571
angles: 60.00 60.00 60.00
Fractional positions:
Pt 0.2500 0.2500 0.2500
Hg 0.5000 0.5000 0.5000
Mn 0.7500 0.7500 0.7500
Mn 0.0000 0.0000 0.0000

Calculated values
* calculated total energy: -0.4834 Ry per atom
* volume: 63 Å³/f.u.
* formation energy from the elements: 0.186 eV per atom



Record 2
Entry from the Alexandria database: a relaxed MnHgPt2 crystal (PBEsol).

abc: 2.9296 3.6097 5.9709
angles: 90.00 90.00 90.00
Fractional positions:
Pt 0.0000 0.0000 0.7295
Pt 0.0000 0.0000 0.2705
Mn 0.5000 0.5000 0.5000
Hg 0.5000 0.5000 0.0000

Calculated values
* calculated total energy: -0.4559 Ry per atom
* volume: 63 Å³/f.u.
* formation energy from the elements: -0.139 eV per atom



Record 3
Entry from the Alexandria database: a relaxed MnHgPt2 crystal (PBEsol).

abc: 2.8728 2.8728 9.0374
angles: 80.85 80.85 60.00
Fractional positions:
Pt 0.7478 0.7478 0.7565
Pt 0.9956 0.9956 0.0130
Mn 0.2542 0.2542 0.2374
Hg 0.5023 0.5023 0.4931

Calculated values
* calculated total energy: -0.4369 Ry per atom
* volume: 63 Å³/f.u.
* formation energy from the elements: 0.119 eV per atom